# 1
First-principles (GGA-PBE) data for a geometry-optimized Na2HfIn structure, as listed in the Alexandria database.

Summary:
crystal system: tetragonal
magnetization: 3.7 Bohr magnetons per cell
SG: I-42d (122)

```
Na2HfIn
1.0
8.610 0.000 0.000
0.000 8.610 0.000
0.000 0.000 5.946
Na Hf In
8 4 4
Direct
0.227 0.250 0.125
0.250 0.727 0.375
0.250 0.773 0.875
0.273 0.250 0.625
0.727 0.750 0.625
0.750 0.227 0.875
0.750 0.273 0.375
0.773 0.750 0.125
0.000 0.000 0.500
0.000 0.500 0.750
0.500 0.000 0.250
0.500 0.500 0.000
0.000 0.000 0.000
0.000 0.500 0.250
0.500 0.000 0.750
0.500 0.500 0.500
```

# 2
First-principles (GGA-PBE) data for a geometry-optimized Ti7Pt2Rh2 structure, as listed in the Alexandria database.

Summary:
crystal system: orthorhombic
magnetization: 0.0 Bohr magnetons per cell
SG: Cmmm (65)

```
Ti7Pt2Rh2
1.0
3.412 -4.586 0.000
3.412 4.586 0.000
0.000 0.000 6.394
Ti Pt Rh
7 2 2
Direct
0.000 0.000 0.000
0.000 0.500 0.275
0.000 0.500 0.725
0.500 0.000 0.275
0.500 0.000 0.725
0.500 0.500 0.262
0.500 0.500 0.738
0.194 0.194 0.500
0.806 0.806 0.500
0.288 0.712 0.000
0.712 0.288 0.000
```

| no. | DFT formation energy (eV per atom) |
| --- | --- |
| 1 | 0.70 |
| 2 | -0.25 |